# GGA-PBE PaGaIrRu, relaxed
data_PaGaIrRu
_cell_length_a 6.591
_cell_length_b 6.591
_cell_length_c 6.591
_cell_angle_alpha 90.00
_cell_angle_beta 90.00
_cell_angle_gamma 90.00
_symmetry_space_group_name_H-M 'F -4 3 m'
_symmetry_Int_Tables_number 216
_symmetry_space_group_name_Hall 'F -4 2 3'
loop_
_atom_site_label
_atom_site_fract_x
_atom_site_fract_y
_atom_site_fract_z
_atom_site_occupancy
Pa1 0.000 0.000 0.000 1
Ga1 0.000 0.000 0.500 1
Ir1 0.250 0.250 0.750 1
Ru1 0.250 0.250 0.250 1
# Volume = 286.3 Å³ per cell
# Energy relative to the elements = -187 kJ/mol of formula units
# Magnetization = 0.0 μB/cell
# ρ = 13.78 g cm⁻³

=====

# GGA-PBE Er5TlIn4, relaxed
data_Er5TlIn4
_cell_length_a 3.704
_cell_length_b 3.704
_cell_length_c 19.068
_cell_angle_alpha 90.00
_cell_angle_beta 90.00
_cell_angle_gamma 90.00
_symmetry_space_group_name_H-M 'P 4/m m m'
_symmetry_Int_Tables_number 123
_symmetry_space_group_name_Hall '-P 4 2'
loop_
_atom_site_label
_atom_site_fract_x
_atom_site_fract_y
_atom_site_fract_z
_atom_site_occupancy
Er1 0.000 0.000 0.000 1
Er2 0.000 0.000 0.198 1
Er3 0.000 0.000 0.397 1
Tl1 0.500 0.500 0.500 1
In1 0.500 0.500 0.099 1
In2 0.500 0.500 0.298 1
# Volume = 261.6 Å³ per cell
# Energy relative to the elements = -401 kJ/mol of formula units
# Magnetization = 0.0 μB/cell
# ρ = 9.52 g cm⁻³

=====

# GGA-PBE La2PRu, relaxed
data_La2PRu
_cell_length_a 6.103
_cell_length_b 6.103
_cell_length_c 13.613
_cell_angle_alpha 90.00
_cell_angle_beta 90.00
_cell_angle_gamma 90.00
_symmetry_space_group_name_H-M 'I -4 2 d'
_symmetry_Int_Tables_number 122
_symmetry_space_group_name_Hall 'I -4 2bw'
loop_
_atom_site_label
_atom_site_fract_x
_atom_site_fract_y
_atom_site_fract_z
_atom_site_occupancy
La1 0.211 0.250 0.125 1
P1 0.000 0.000 0.500 1
Ru1 0.000 0.000 0.000 1
# Volume = 507.0 Å³ per cell
# Energy relative to the elements = -72 kJ/mol of formula units
# Magnetization = 0.0 μB/cell
# ρ = 5.37 g cm⁻³

=====

# GGA-PBE ScBOsRh2, relaxed
data_ScBOsRh2
_cell_length_a 4.111
_cell_length_b 4.111
_cell_length_c 4.168
_cell_angle_alpha 90.00
_cell_angle_beta 90.00
_cell_angle_gamma 90.00
_symmetry_space_group_name_H-M 'P 4/m m m'
_symmetry_Int_Tables_number 123
_symmetry_space_group_name_Hall '-P 4 2'
loop_
_atom_site_label
_atom_site_fract_x
_atom_site_fract_y
_atom_site_fract_z
_atom_site_occupancy
Sc1 0.000 0.000 0.000 1
B1 0.500 0.500 0.500 1
Os1 0.500 0.500 0.000 1
Rh1 0.000 0.500 0.500 1
# Volume = 70.4 Å³ per cell
# Energy relative to the elements = -255 kJ/mol of formula units
# Magnetization = 0.0 μB/cell
# ρ = 10.65 g cm⁻³

=====

# GGA-PBE Cd3CoNi, relaxed
data_Cd3CoNi
_cell_length_a 4.845
_cell_length_b 4.845
_cell_length_c 4.845
_cell_angle_alpha 90.00
_cell_angle_beta 90.00
_cell_angle_gamma 90.00
_symmetry_space_group_name_H-M 'P m -3 m'
_symmetry_Int_Tables_number 221
_symmetry_space_group_name_Hall '-P 4 2 3'
loop_
_atom_site_label
_atom_site_fract_x
_atom_site_fract_y
_atom_site_fract_z
_atom_site_occupancy
Cd1 0.000 0.000 0.500 1
Co1 0.500 0.500 0.500 1
Ni1 0.000 0.000 0.000 1
# Volume = 113.7 Å³ per cell
# Energy relative to the elements = 387 kJ/mol of formula units
# Magnetization = 1.9 μB/cell
# ρ = 6.64 g cm⁻³
# Offset from the most stable computed form = 0.000 eV/atom

=====

# GGA-PBE In2O2F, relaxed
data_In2O2F
_cell_length_a 4.308
_cell_length_b 4.308
_cell_length_c 8.453
_cell_angle_alpha 90.00
_cell_angle_beta 90.00
_cell_angle_gamma 90.00
_symmetry_space_group_name_H-M 'I 4/m m m'
_symmetry_Int_Tables_number 139
_symmetry_space_group_name_Hall '-I 4 2'
loop_
_atom_site_label
_atom_site_fract_x
_atom_site_fract_y
_atom_site_fract_z
_atom_site_occupancy
In1 0.000 0.500 0.250 1
O1 0.000 0.000 0.180 1
F1 0.000 0.000 0.500 1
# Volume = 156.9 Å³ per cell
# Magnetization = 0.0 μB/cell
# Raw formation energy = -1163 meV/atom
# ρ = 5.94 g cm⁻³

=====

# GGA-PBE AcSmPaO6, relaxed
data_AcSmPaO6
_cell_length_a 5.323
_cell_length_b 5.323
_cell_length_c 11.142
_cell_angle_alpha 90.00
_cell_angle_beta 90.00
_cell_angle_gamma 90.00
_symmetry_space_group_name_H-M 'P 42 n m'
_symmetry_Int_Tables_number 102
_symmetry_space_group_name_Hall 'P 4n -2n'
loop_
_atom_site_label
_atom_site_fract_x
_atom_site_fract_y
_atom_site_fract_z
_atom_site_occupancy
Ac1 0.000 0.000 0.000 1
Sm1 0.000 0.000 0.330 1
Pa1 0.000 0.000 0.666 1
O1 0.176 0.176 0.508 1
O2 0.189 0.189 0.812 1
O3 0.209 0.209 0.173 1
# Volume = 315.6 Å³ per cell
# Magnetization = 1.5 μB/cell
# Raw formation energy = -3218 meV/atom
# ρ = 7.41 g cm⁻³

=====

# GGA-PBE LaMgSc2, relaxed
data_LaMgSc2
_cell_length_a 5.381
_cell_length_b 5.381
_cell_length_c 3.671
_cell_angle_alpha 90.00
_cell_angle_beta 90.00
_cell_angle_gamma 90.00
_symmetry_space_group_name_H-M 'P 4/m m m'
_symmetry_Int_Tables_number 123
_symmetry_space_group_name_Hall '-P 4 2'
loop_
_atom_site_label
_atom_site_fract_x
_atom_site_fract_y
_atom_site_fract_z
_atom_site_occupancy
La1 0.000 0.000 0.000 1
Mg1 0.500 0.500 0.000 1
Sc1 0.000 0.500 0.500 1
# Volume = 106.3 Å³ per cell
# Energy relative to the elements = 45 kJ/mol of formula units
# Magnetization = 0.5 μB/cell
# ρ = 3.95 g cm⁻³